A geometry-optimized Gd2TiHg structure, computed with GGA-PBE.

```
data_Gd2TiHg
_chemical_formula_sum 'Gd2 Ti1 Hg1'
_cell_length_a 3.3485
_cell_length_b 3.3485
_cell_length_c 11.2698
_cell_angle_alpha 81.46
_cell_angle_beta 81.46
_cell_angle_gamma 60.00
_symmetry_space_group_name_H-M 'P 1'
_symmetry_Int_Tables_number 1
_symmetry_space_group_name_Hall 'P 1'
loop_
_atom_site_label
_atom_site_type_symbol
_atom_site_fract_x
_atom_site_fract_y
_atom_site_fract_z
_atom_site_occupancy
Ti1 Ti 0.0000 0.0000 0.0000 1
Hg1 Hg 0.5000 0.5000 0.5000 1
Gd1 Gd 0.0888 0.0888 0.7336 1
Gd2 Gd 0.9112 0.9112 0.2664 1
```

Computed properties:
Fermi-level density of states	4.8	states/eV/f.u.
offset from the most stable computed form	0.382	eV/atom
ΔH_f (0 K)	0.295	eV per atom
crystal system	trigonal


A geometry-optimized Ni2HPdRu structure, computed with GGA-PBE.

```
data_Ni2HPdRu
_chemical_formula_sum 'Ni2 H1 Pd1 Ru1'
_cell_length_a 3.8121
_cell_length_b 3.8121
_cell_length_c 3.6959
_cell_angle_alpha 90.00
_cell_angle_beta 90.00
_cell_angle_gamma 90.00
_symmetry_space_group_name_H-M 'P 1'
_symmetry_Int_Tables_number 1
_symmetry_space_group_name_Hall 'P 1'
loop_
_atom_site_label
_atom_site_type_symbol
_atom_site_fract_x
_atom_site_fract_y
_atom_site_fract_z
_atom_site_occupancy
Ru1 Ru 0.0000 0.0000 0.5000 1
Ni1 Ni 0.5000 0.0000 0.0000 1
H1 H 0.0000 0.0000 0.0000 1
Pd1 Pd 0.5000 0.5000 0.5000 1
Ni2 Ni 0.0000 0.5000 0.0000 1
```

Computed properties:
Fermi-level density of states	5.9	states/eV/f.u.
offset from the most stable computed form	0.000	eV/atom
crystal system	tetragonal


| no. | E (eV/f.u.) |
| --- | --- |
| 1 | -35.18 |
| 2 | -28.68 |